Entry 1:
! LiFe2Ag | the Alexandria database | GGA-PBE | optimized geometry; values from VASP
! - space-group type = No. 8
! - energy of formation (kJ per mole of atoms) = 27.8
! - total moment (μB/atom) = 1.2974
&SYSTEM
  ibrav = 0, nat = 4, ntyp = 3
/
ATOMIC_SPECIES
Li 6.94 Li.upf
Fe 55.84 Fe.upf
Ag 107.87 Ag.upf
CELL_PARAMETERS angstrom
4.2683 -1.3275 0.0000
4.2683 1.3275 0.0000
-0.7393 0.0000 4.9012
ATOMIC_POSITIONS angstrom
Li 0.0000 0.0000 0.0000
Fe 3.8863 0.0000 2.2880
Fe 6.2653 0.0000 1.3462
Ag 1.5313 0.0000 3.7695

Entry 2:
! LiFe4Ag | the Alexandria database | GGA-PBE | optimized geometry; values from VASP
! - space-group type = No. 216
! - energy of formation (kJ per mole of atoms) = 25.8
! - total moment (μB/atom) = 1.4650
&SYSTEM
  ibrav = 0, nat = 6, ntyp = 3
/
ATOMIC_SPECIES
Li 6.94 Li.upf
Fe 55.84 Fe.upf
Ag 107.87 Ag.upf
CELL_PARAMETERS angstrom
0.0000 3.4111 3.4111
3.4111 0.0000 3.4111
3.4111 3.4111 0.0000
ATOMIC_POSITIONS angstrom
Li 0.0000 0.0000 0.0000
Fe 2.5531 2.5531 2.5531
Fe 4.2691 4.2691 2.5531
Fe 4.2691 2.5531 4.2691
Fe 2.5531 4.2691 4.2691
Ag 5.1167 5.1167 5.1167

Entry 3:
! LiFeAg | the Alexandria database | GGA-PBE | optimized geometry; values from VASP
! - space-group type = No. 156
! - energy of formation (kJ per mole of atoms) = 23.4
! - total moment (μB/atom) = 0.8508
! - E above lowest polymorph (meV per atom) = 0.1
&SYSTEM
  ibrav = 0, nat = 3, ntyp = 3
/
ATOMIC_SPECIES
Li 6.94 Li.upf
Fe 55.84 Fe.upf
Ag 107.87 Ag.upf
CELL_PARAMETERS angstrom
2.7275 0.0000 0.0000
-1.3638 2.3621 0.0000
0.0000 0.0000 6.9529
ATOMIC_POSITIONS angstrom
Li 0.0000 0.0000 0.0000
Fe 1.3638 0.7874 4.7178
Ag 0.0000 1.5748 2.3566

Entry 4:
! LiFe2Ag | the Alexandria database | GGA-PBE | optimized geometry; values from VASP
! - space-group type = No. 123
! - energy of formation (kJ per mole of atoms) = 26.7
! - total moment (μB/atom) = 1.3155
&SYSTEM
  ibrav = 0, nat = 4, ntyp = 3
/
ATOMIC_SPECIES
Li 6.94 Li.upf
Fe 55.84 Fe.upf
Ag 107.87 Ag.upf
CELL_PARAMETERS angstrom
3.5458 0.0000 0.0000
0.0000 3.5458 0.0000
0.0000 0.0000 4.3032
ATOMIC_POSITIONS angstrom
Li 0.0000 0.0000 0.0000
Fe 0.0000 1.7729 2.1516
Fe 1.7729 0.0000 2.1516
Ag 1.7729 1.7729 0.0000

Entry 5:
! LiFeAg2 | the Alexandria database | GGA-PBE | optimized geometry; values from VASP
! - space-group type = No. 123
! - energy of formation (kJ per mole of atoms) = 13.8
! - total moment (μB/atom) = 0.7060
&SYSTEM
  ibrav = 0, nat = 4, ntyp = 3
/
ATOMIC_SPECIES
Li 6.94 Li.upf
Fe 55.84 Fe.upf
Ag 107.87 Ag.upf
CELL_PARAMETERS angstrom
2.8027 0.0000 0.0000
0.0000 2.8027 0.0000
0.0000 0.0000 7.9435
ATOMIC_POSITIONS angstrom
Li 0.0000 0.0000 0.0000
Fe 0.0000 0.0000 3.9717
Ag 1.4014 1.4014 2.0085
Ag 1.4014 1.4014 5.9350

Entry 6:
! LiFeAg | the Alexandria database | GGA-PBE | optimized geometry; values from VASP
! - space-group type = No. 42
! - energy of formation (kJ per mole of atoms) = 23.4
! - total moment (μB/atom) = 0.9099
! - E above lowest polymorph (meV per atom) = 0.0
&SYSTEM
  ibrav = 0, nat = 3, ntyp = 3
/
ATOMIC_SPECIES
Li 6.94 Li.upf
Fe 55.84 Fe.upf
Ag 107.87 Ag.upf
CELL_PARAMETERS angstrom
0.0000 2.2540 6.8794
1.4532 0.0000 6.8794
1.4532 2.2540 0.0000
ATOMIC_POSITIONS angstrom
Li 0.0000 0.0000 0.0000
Fe 1.4532 2.2540 9.0969
Ag 1.4532 2.2540 4.5626

Entry 7:
! LiFeAg2 | the Alexandria database | GGA-PBE | optimized geometry; values from VASP
! - space-group type = No. 99
! - energy of formation (kJ per mole of atoms) = 20.1
! - total moment (μB/atom) = 0.6908
&SYSTEM
  ibrav = 0, nat = 4, ntyp = 3
/
ATOMIC_SPECIES
Li 6.94 Li.upf
Fe 55.84 Fe.upf
Ag 107.87 Ag.upf
CELL_PARAMETERS angstrom
2.7711 0.0000 0.0000
0.0000 2.7711 0.0000
0.0000 0.0000 8.2169
ATOMIC_POSITIONS angstrom
Li 0.0000 0.0000 0.0000
Fe 1.3855 1.3855 6.2652
Ag 0.0000 0.0000 4.2687
Ag 1.3855 1.3855 2.0068

Entry 8:
! LiFe2Ag | the Alexandria database | GGA-PBE | optimized geometry; values from VASP
! - space-group type = No. 166
! - energy of formation (kJ per mole of atoms) = 35.9
! - total moment (μB/atom) = 1.2165
&SYSTEM
  ibrav = 0, nat = 4, ntyp = 3
/
ATOMIC_SPECIES
Li 6.94 Li.upf
Fe 55.84 Fe.upf
Ag 107.87 Ag.upf
CELL_PARAMETERS angstrom
1.3264 0.7658 9.2678
-1.3264 0.7658 9.2678
0.0000 -1.5316 9.2678
ATOMIC_POSITIONS angstrom
Li 0.0000 0.0000 0.0000
Fe 0.0000 0.0000 7.0028
Fe 0.0000 0.0000 20.8005
Ag 0.0000 0.0000 13.9017

Entry 9:
! Li2FeAg | the Alexandria database | GGA-PBE | optimized geometry; values from VASP
! - space-group type = No. 166
! - energy of formation (kJ per mole of atoms) = 16.0
! - total moment (μB/atom) = 0.6164
&SYSTEM
  ibrav = 0, nat = 4, ntyp = 3
/
ATOMIC_SPECIES
Li 6.94 Li.upf
Fe 55.84 Fe.upf
Ag 107.87 Ag.upf
CELL_PARAMETERS angstrom
1.3744 0.7935 9.0231
-1.3744 0.7935 9.0231
0.0000 -1.5870 9.0231
ATOMIC_POSITIONS angstrom
Li 0.0000 0.0000 6.6920
Li 0.0000 0.0000 20.3774
Fe 0.0000 0.0000 13.5347
Ag 0.0000 0.0000 0.0000

Entry 10:
! LiFeAg2 | the Alexandria database | GGA-PBE | optimized geometry; values from VASP
! - space-group type = No. 25
! - energy of formation (kJ per mole of atoms) = 13.5
! - total moment (μB/atom) = 0.7303
&SYSTEM
  ibrav = 0, nat = 4, ntyp = 3
/
ATOMIC_SPECIES
Li 6.94 Li.upf
Fe 55.84 Fe.upf
Ag 107.87 Ag.upf
CELL_PARAMETERS angstrom
2.7576 0.0000 0.0000
0.0000 4.6804 0.0000
0.0000 0.0000 4.8102
ATOMIC_POSITIONS angstrom
Li 0.0000 0.0000 0.0000
Fe 0.0000 2.3402 1.8613
Ag 1.3788 0.0000 2.3719
Ag 1.3788 2.3402 4.2708

Entry 11:
! LiFe2Ag | the Alexandria database | GGA-PBE | optimized geometry; values from VASP
! - space-group type = No. 12
! - energy of formation (kJ per mole of atoms) = 22.5
! - total moment (μB/atom) = 1.2769
&SYSTEM
  ibrav = 0, nat = 4, ntyp = 3
/
ATOMIC_SPECIES
Li 6.94 Li.upf
Fe 55.84 Fe.upf
Ag 107.87 Ag.upf
CELL_PARAMETERS angstrom
4.9955 -1.4327 0.0000
4.9955 1.4327 0.0000
-1.6676 0.0000 3.7361
ATOMIC_POSITIONS angstrom
Li 0.0000 0.0000 0.0000
Fe 1.2768 0.0000 2.8154
Fe 7.0466 0.0000 0.9207
Ag 4.1617 0.0000 1.8681

Entry 12:
! LiFe2Ag | the Alexandria database | GGA-PBE | optimized geometry; values from VASP
! - space-group type = No. 99
! - energy of formation (kJ per mole of atoms) = 20.3
! - total moment (μB/atom) = 1.3107
&SYSTEM
  ibrav = 0, nat = 4, ntyp = 3
/
ATOMIC_SPECIES
Li 6.94 Li.upf
Fe 55.84 Fe.upf
Ag 107.87 Ag.upf
CELL_PARAMETERS angstrom
3.0091 0.0000 0.0000
0.0000 3.0091 0.0000
0.0000 0.0000 6.1679
ATOMIC_POSITIONS angstrom
Li 0.0000 0.0000 0.0000
Fe 0.0000 0.0000 3.4296
Fe 1.5046 1.5046 4.5629
Ag 1.5046 1.5046 1.6285